The following is a DFT calculation (PBE-GGA) of a relaxed MgAs2OsSe crystal.

Structure (extended XYZ):
```
5
Lattice="4.644 0.000 0.000 0.000 4.644 0.000 0.000 0.000 5.668" Properties=species:S:1:pos:R:3 pbc="T T T"
Mg 0.000 0.000 0.000
As 0.000 2.322 2.834
As 2.322 0.000 2.834
Os 2.322 2.322 2.834
Se 2.322 2.322 0.000
```

Output
- Total moment: 0.00 Bohr magnetons per cell
- Excess energy over the best structure of this formula in the dataset: 0.000 eV per atom
- SG: P4/mmm
- E_form (uncorrected): 373 meV/atom

The following is a DFT calculation (PBE-GGA) of a relaxed SrCo3 crystal.

Structure (extended XYZ):
```
4
Lattice="3.753 0.000 0.000 0.000 3.753 0.000 0.000 0.000 5.539" Properties=species:S:1:pos:R:3 pbc="T T T"
Sr 0.000 0.000 0.000
Co 0.000 1.877 2.877
Co 1.877 0.000 2.877
Co 1.877 1.877 1.682
```

Output
- Total moment: 4.63 Bohr magnetons per cell
- Energy of formation from the pure elements: 507 meV per atom
- SG: P4mm

The following is a DFT calculation (PBE-GGA) of a relaxed Cd2PbWN crystal.

Structure (extended XYZ):
```
5
Lattice="5.776 0.000 0.000 0.000 5.776 0.000 0.000 0.000 5.587" Properties=species:S:1:pos:R:3 pbc="T T T"
Cd 0.000 2.888 0.000
Cd 2.888 0.000 0.000
Pb 0.000 0.000 0.000
W 0.000 0.000 2.793
N 2.888 2.888 2.793
```

Output
- Total moment: 1.73 Bohr magnetons per cell
- SG: P4/mmm
- E_form (uncorrected): 2378 meV/atom

The following is a DFT calculation (PBE-GGA) of a relaxed KAs3 crystal.

Structure (extended XYZ):
```
4
Lattice="1.555 0.898 10.481 -1.555 0.898 10.481 0.000 -1.796 10.481" Properties=species:S:1:pos:R:3 pbc="T T T"
K 0.000 0.000 0.000
As 0.000 0.000 7.681
As 0.000 0.000 15.721
As 0.000 0.000 23.760
```

Output
- Total moment: 0.00 Bohr magnetons per cell
- Excess energy over the best structure of this formula in the dataset: 0.574 eV per atom
- Energy of formation from the pure elements: 451 meV per atom
- SG: R-3m

The following is a DFT calculation (PBE-GGA) of a relaxed KMnAs crystal.

Structure (extended XYZ):
```
6
Lattice="4.327 0.000 0.000 0.000 4.327 0.000 0.000 0.000 8.249" Properties=species:S:1:pos:R:3 pbc="T T T"
K 1.082 1.082 1.323
K 3.245 3.245 6.926
Mn 1.082 3.245 4.125
Mn 3.245 1.082 4.125
As 1.082 1.082 5.483
As 3.245 3.245 2.766
```

Output
- Total moment: 7.88 Bohr magnetons per cell
- Energy of formation from the pure elements: -253 meV per atom
- SG: P4/nmm

The following is a DFT calculation (PBE-GGA) of a relaxed CdHBr2 crystal.

Structure (extended XYZ):
```
8
Lattice="-3.665 3.665 4.869 3.665 -3.665 4.869 3.665 3.665 -4.869" Properties=species:S:1:pos:R:3 pbc="T T T"
Cd 0.000 0.000 0.000
Cd 0.000 3.665 2.434
H 3.665 0.000 2.434
H 0.000 0.000 4.869
Br 5.497 1.481 -1.217
Br 1.481 1.832 1.217
Br -1.832 2.184 3.652
Br 2.184 1.832 6.086
```

Output
- Total moment: 2.00 Bohr magnetons per cell
- SG: I-42d
- Final energy: -1.958 eV per atom

> total moment of number 1 (MgAs2OsSe)?

0.00 Bohr magnetons per cell

Repeat the second record exactly.
The following is a DFT calculation (PBE-GGA) of a relaxed SrCo3 crystal.

Structure (extended XYZ):
```
4
Lattice="3.753 0.000 0.000 0.000 3.753 0.000 0.000 0.000 5.539" Properties=species:S:1:pos:R:3 pbc="T T T"
Sr 0.000 0.000 0.000
Co 0.000 1.877 2.877
Co 1.877 0.000 2.877
Co 1.877 1.877 1.682
```

Output
- Total moment: 4.63 Bohr magnetons per cell
- Energy of formation from the pure elements: 507 meV per atom
- SG: P4mm

Copy entry 6 word for word.
The following is a DFT calculation (PBE-GGA) of a relaxed CdHBr2 crystal.

Structure (extended XYZ):
```
8
Lattice="-3.665 3.665 4.869 3.665 -3.665 4.869 3.665 3.665 -4.869" Properties=species:S:1:pos:R:3 pbc="T T T"
Cd 0.000 0.000 0.000
Cd 0.000 3.665 2.434
H 3.665 0.000 2.434
H 0.000 0.000 4.869
Br 5.497 1.481 -1.217
Br 1.481 1.832 1.217
Br -1.832 2.184 3.652
Br 2.184 1.832 6.086
```

Output
- Total moment: 2.00 Bohr magnetons per cell
- SG: I-42d
- Final energy: -1.958 eV per atom

> What is the total moment in the first record?

0.00 Bohr magnetons per cell